No. 1
Compound: La2Ho6ErTm3
Source: the Alexandria database
Functional: PBE
Structure: relaxed

Lattice parameters (Å, degrees): 6.155 6.155 11.761 95.00 95.00 119.98
Positions (direct):
La 0.167 0.833 0.000
La 0.833 0.167 0.000
Ho 0.082 0.414 0.745
Ho 0.254 0.254 0.256
Ho 0.414 0.082 0.745
Ho 0.586 0.918 0.255
Ho 0.746 0.746 0.744
Ho 0.918 0.586 0.255
Er 0.500 0.500 0.000
Tm 0.000 0.000 0.500
Tm 0.334 0.666 0.500
Tm 0.666 0.334 0.500

Output
SG: C2/m (12)
Energy of formation from the pure elements: 27 meV/atom

No. 2
Compound: LiPaPN4
Source: the Alexandria database
Functional: PBE
Structure: relaxed

Lattice parameters (Å, degrees): 5.803 5.281 6.456 90.00 93.00 90.00
Positions (direct):
Li 0.081 0.250 0.145
Li 0.919 0.750 0.855
Pa 0.295 0.250 0.591
Pa 0.705 0.750 0.409
P 0.185 0.750 0.325
P 0.815 0.250 0.675
N 0.040 0.250 0.835
N 0.084 0.750 0.562
N 0.362 0.507 0.315
N 0.362 0.993 0.315
N 0.638 0.007 0.685
N 0.638 0.493 0.685
N 0.916 0.250 0.438
N 0.960 0.750 0.165

Output
E_form (uncorrected): -0.728 eV/atom
SG: P2_1/m (11)

No. 3
Compound: IrPtSeI2
Source: the Alexandria database
Functional: PBE
Structure: relaxed

Lattice parameters (Å, degrees): 5.823 5.823 4.558 90.00 90.00 90.00
Positions (direct):
Ir 0.000 0.000 0.000
Pt 0.500 0.500 0.000
Se 0.500 0.500 0.500
I 0.000 0.500 0.500
I 0.500 0.000 0.500

Output
E_form (uncorrected): 1.516 eV/atom
SG: P4/mmm (123)

No. 4
Compound: GdHg2Au
Source: the Alexandria database
Functional: PBE
Structure: relaxed

Lattice parameters (Å, degrees): 3.419 3.419 31.446 90.00 90.00 120.00
Positions (direct):
Gd 0.000 0.000 0.000
Gd 0.333 0.667 0.667
Gd 0.667 0.333 0.333
Hg 0.000 0.000 0.097
Hg 0.000 0.000 0.903
Hg 0.333 0.667 0.570
Hg 0.333 0.667 0.763
Hg 0.667 0.333 0.237
Hg 0.667 0.333 0.430
Au 0.000 0.000 0.500
Au 0.333 0.667 0.167
Au 0.667 0.333 0.833

Output
SG: R-3m (166)
Energy of formation from the pure elements: 152 meV/atom

No. 5
Compound: K2Ti2Tc
Source: the Alexandria database
Functional: PBE
Structure: relaxed

Lattice parameters (Å, degrees): 9.386 9.386 2.794 90.00 90.00 90.00
Positions (direct):
K 0.112 0.388 0.000
K 0.388 0.888 0.000
K 0.612 0.112 0.000
K 0.888 0.612 0.000
Ti 0.196 0.696 0.500
Ti 0.304 0.196 0.500
Ti 0.696 0.804 0.500
Ti 0.804 0.304 0.500
Tc 0.000 0.000 0.000
Tc 0.500 0.500 0.000

Output
SG: P4/mbm (127)
Relative energy among the computed polymorphs: 0.0000 eV/atom
Energy of formation from the pure elements: 1925 meV/atom

What did we get for DFT total energy? Answer: -4.581 -7.888 -2.782 -4.338 -3.745 eV per atom, in the order shown.
What did we get for total moment? Answer: 0.000 0.000 2.469 22.406 5.263 μB/cell, in the order shown.